Computed, not measured: an optimized crystal structure of HfCrGe2O8 at the PBE with a Hubbard U level of DFT.

abc: 5.6405 5.6405 5.6405
angles: 108.31 108.31 111.82
Fractional positions:
Hf  0.0000  0.0000  0.0000
Cr  0.7500  0.2500  0.5000
Ge  0.2500  0.7500  0.5000
Ge  0.5000  0.5000  0.0000
O  0.0558  0.3681  0.3123
O  0.0558  0.7435  0.6877
O  0.1095  0.2993  0.8102
O  0.2565  0.9442  0.3123
O  0.4891  0.2993  0.1898
O  0.6319  0.9442  0.6877
O  0.7007  0.5109  0.8102
O  0.7007  0.8905  0.1898

Output
- uncorrected energy (eV/atom) = -7.417